1.
A plane-wave DFT calculation with PBE was carried out for crystalline HfSc4Ta3N8 at its relaxed geometry.

Unit cell a=6.341 b=6.341 c=6.341 alpha=59.50 beta=59.50 gamma=59.50
Atoms (fractional coordinates):
Hf 0.000 0.000 0.000
Sc 0.000 0.000 0.500
Sc 0.000 0.500 0.000
Sc 0.500 0.000 0.000
Sc 0.500 0.500 0.500
Ta 0.000 0.500 0.500
Ta 0.500 0.000 0.500
Ta 0.500 0.500 0.000
N 0.249 0.249 0.746
N 0.249 0.746 0.249
N 0.252 0.252 0.252
N 0.254 0.751 0.751
N 0.746 0.249 0.249
N 0.748 0.748 0.748
N 0.751 0.254 0.751
N 0.751 0.751 0.254

Values from the calculation:
**Calculated total energy**: -163.31 eV for the cell shown
**Uncorrected formation energy**: -1.617 eV/atom
**N(E_F)**: 6.28 states/eV per cell

=====

2.
A plane-wave DFT calculation with PBE was carried out for crystalline HfSc2TaN4 at its relaxed geometry.

Unit cell a=5.482 b=3.159 c=5.518 alpha=90.00 beta=109.30 gamma=90.00
Atoms (fractional coordinates):
Hf 0.000 0.000 0.000
Sc 0.000 0.500 0.500
Sc 0.500 0.000 0.500
Ta 0.500 0.500 0.000
N 0.250 0.500 0.245
N 0.255 0.000 0.756
N 0.745 0.000 0.244
N 0.750 0.500 0.755

Values from the calculation:
**Calculated total energy**: -81.52 eV for the cell shown
**Uncorrected formation energy**: -1.719 eV/atom
**N(E_F)**: 1.36 states/eV per cell

=====

3.
A plane-wave DFT calculation with PBE was carried out for crystalline HfScTa2N4 at its relaxed geometry.

Unit cell a=5.451 b=3.149 c=5.478 alpha=90.00 beta=109.39 gamma=90.00
Atoms (fractional coordinates):
Hf 0.000 0.000 0.000
Sc 0.500 0.500 0.000
Ta 0.000 0.500 0.500
Ta 0.500 0.000 0.500
N 0.249 0.000 0.748
N 0.250 0.500 0.251
N 0.750 0.500 0.749
N 0.751 0.000 0.252

Values from the calculation:
**Calculated total energy**: -84.82 eV for the cell shown
**Uncorrected formation energy**: -1.441 eV/atom
**N(E_F)**: 1.91 states/eV per cell

=====

4.
A plane-wave DFT calculation with PBE was carried out for crystalline Hf4Sc3TaN8 at its relaxed geometry.

Unit cell a=6.369 b=6.369 c=6.369 alpha=60.11 beta=60.11 gamma=60.11
Atoms (fractional coordinates):
Hf 0.000 0.000 0.000
Hf 0.000 0.500 0.500
Hf 0.500 0.000 0.500
Hf 0.500 0.500 0.000
Sc 0.000 0.000 0.500
Sc 0.000 0.500 0.000
Sc 0.500 0.000 0.000
Ta 0.500 0.500 0.500
N 0.250 0.250 0.748
N 0.250 0.748 0.250
N 0.252 0.252 0.252
N 0.252 0.750 0.750
N 0.748 0.250 0.250
N 0.748 0.748 0.748
N 0.750 0.252 0.750
N 0.750 0.750 0.252

Values from the calculation:
**Calculated total energy**: -165.61 eV for the cell shown
**Uncorrected formation energy**: -1.772 eV/atom
**N(E_F)**: 5.88 states/eV per cell

=====

5.
A plane-wave DFT calculation with PBE was carried out for crystalline Hf2ScTaN4 at its relaxed geometry.

Unit cell a=5.491 b=3.172 c=5.517 alpha=90.00 beta=109.28 gamma=90.00
Atoms (fractional coordinates):
Hf 0.000 0.000 0.000
Hf 0.000 0.500 0.500
Sc 0.500 0.000 0.500
Ta 0.500 0.500 0.000
N 0.248 0.500 0.248
N 0.250 0.000 0.750
N 0.750 0.000 0.250
N 0.752 0.500 0.752

Values from the calculation:
**Calculated total energy**: -84.44 eV for the cell shown
**Uncorrected formation energy**: -1.632 eV/atom
**N(E_F)**: 2.52 states/eV per cell

=====

6.
A plane-wave DFT calculation with PBE was carried out for crystalline Hf3Sc3TaN8 at its relaxed geometry.

Unit cell a=6.371 b=6.371 c=6.371 alpha=59.84 beta=59.84 gamma=59.84
Atoms (fractional coordinates):
Hf 0.000 0.500 0.500
Hf 0.500 0.000 0.500
Hf 0.500 0.500 0.000
Sc 0.000 0.000 0.500
Sc 0.000 0.500 0.000
Sc 0.500 0.000 0.000
Ta 0.000 0.000 0.000
N 0.236 0.236 0.759
N 0.236 0.759 0.236
N 0.241 0.764 0.764
N 0.252 0.252 0.252
N 0.748 0.748 0.748
N 0.759 0.236 0.236
N 0.764 0.241 0.764
N 0.764 0.764 0.241

Values from the calculation:
**Calculated total energy**: -153.01 eV for the cell shown
**Uncorrected formation energy**: -1.714 eV/atom
**N(E_F)**: 1.35 states/eV per cell

=====

7.
A plane-wave DFT calculation with PBE was carried out for crystalline Tb2HfScN4 at its relaxed geometry.

Unit cell a=5.762 b=3.329 c=5.816 alpha=90.00 beta=109.18 gamma=90.00
Atoms (fractional coordinates):
Tb 0.000 0.000 0.000
Tb 0.500 0.500 0.000
Hf 0.000 0.500 0.500
Sc 0.500 0.000 0.500
N 0.238 0.000 0.726
N 0.252 0.500 0.271
N 0.748 0.500 0.729
N 0.762 0.000 0.274

Values from the calculation:
**Calculated total energy**: -73.15 eV for the cell shown
**Uncorrected formation energy**: -1.788 eV/atom
**N(E_F)**: 1.24 states/eV per cell

=====

8.
A plane-wave DFT calculation with PBE was carried out for crystalline Tb2Hf3ScN6 at its relaxed geometry.

Unit cell a=7.397 b=7.397 c=6.620 alpha=103.65 beta=103.65 gamma=25.61
Atoms (fractional coordinates):
Tb 0.165 0.165 0.331
Tb 0.835 0.835 0.669
Hf 0.164 0.164 0.834
Hf 0.500 0.500 0.500
Hf 0.836 0.836 0.166
Sc 0.500 0.500 0.000
N 0.006 0.006 0.748
N 0.332 0.332 0.934
N 0.340 0.340 0.401
N 0.660 0.660 0.599
N 0.668 0.668 0.066
N 0.994 0.994 0.252

Values from the calculation:
**Calculated total energy**: -116.99 eV for the cell shown
**Uncorrected formation energy**: -1.799 eV/atom
**N(E_F)**: 2.77 states/eV per cell

=====

9.
A plane-wave DFT calculation with PBE was carried out for crystalline TbHfSc2N4 at its relaxed geometry.

Unit cell a=5.640 b=3.272 c=5.694 alpha=90.00 beta=109.35 gamma=90.00
Atoms (fractional coordinates):
Tb 0.000 0.000 0.000
Hf 0.000 0.500 0.500
Sc 0.500 0.000 0.500
Sc 0.500 0.500 0.000
N 0.249 0.000 0.737
N 0.257 0.500 0.267
N 0.743 0.500 0.733
N 0.751 0.000 0.263

Values from the calculation:
**Calculated total energy**: -75.16 eV for the cell shown
**Uncorrected formation energy**: -1.827 eV/atom
**N(E_F)**: 1.22 states/eV per cell

=====

10.
A plane-wave DFT calculation with PBE was carried out for crystalline TbHf2ScN4 at its relaxed geometry.

Unit cell a=6.548 b=6.548 c=6.548 alpha=120.19 beta=119.80 gamma=90.01
Atoms (fractional coordinates):
Tb 0.500 0.000 0.000
Tb 0.500 0.500 0.500
Hf 0.000 0.000 0.000
Hf 0.000 0.000 0.500
Hf 0.000 0.500 0.000
Hf 0.500 0.000 0.500
Sc 0.000 0.500 0.500
Sc 0.500 0.500 0.000
N 0.230 0.247 0.983
N 0.236 0.753 0.483
N 0.242 0.236 0.494
N 0.242 0.747 0.006
N 0.758 0.253 0.994
N 0.758 0.764 0.506
N 0.764 0.247 0.517
N 0.770 0.753 0.017

Values from the calculation:
**Calculated total energy**: -157.34 eV for the cell shown
**Uncorrected formation energy**: -1.812 eV/atom
**N(E_F)**: 6.03 states/eV per cell

=====

11.
A plane-wave DFT calculation with PBE was carried out for crystalline TbHf3Sc2N6 at its relaxed geometry.

Unit cell a=5.619 b=5.619 c=5.649 alpha=99.58 beta=99.58 gamma=119.92
Atoms (fractional coordinates):
Tb 0.000 0.000 0.000
Hf 0.168 0.832 0.500
Hf 0.500 0.500 0.500
Hf 0.832 0.168 0.500
Sc 0.333 0.667 0.000
Sc 0.667 0.333 0.000
N 0.088 0.431 0.264
N 0.255 0.255 0.737
N 0.431 0.088 0.264
N 0.569 0.912 0.736
N 0.745 0.745 0.263
N 0.912 0.569 0.736

Values from the calculation:
**Calculated total energy**: -119.21 eV for the cell shown
**Uncorrected formation energy**: -1.842 eV/atom
**N(E_F)**: 3.11 states/eV per cell

=====

12.
A plane-wave DFT calculation with PBE was carried out for crystalline HfSc2TcN at its relaxed geometry.

Unit cell a=4.318 b=4.318 c=4.452 alpha=90.00 beta=90.00 gamma=90.00
Atoms (fractional coordinates):
Hf 0.000 0.000 0.000
Sc 0.000 0.500 0.500
Sc 0.500 0.000 0.500
Tc 0.500 0.500 0.000
N 0.000 0.000 0.500

Values from the calculation:
**Calculated total energy**: -45.06 eV for the cell shown
**Uncorrected formation energy**: -0.750 eV/atom
**N(E_F)**: 3.33 states/eV per cell

=====

13.
A plane-wave DFT calculation with PBE was carried out for crystalline HfScTeN2 at its relaxed geometry.

Unit cell a=4.136 b=4.136 c=5.487 alpha=90.00 beta=90.00 gamma=90.00
Atoms (fractional coordinates):
Hf 0.000 0.000 0.000
Sc 0.500 0.500 0.500
Te 0.500 0.500 0.000
N 0.000 0.500 0.500
N 0.500 0.000 0.500

Values from the calculation:
**Calculated total energy**: -33.77 eV for the cell shown
**Uncorrected formation energy**: 0.462 eV/atom
**N(E_F)**: 3.35 states/eV per cell
**Energy above the lowest structure with this stoichiometry**: 0.638 eV/atom

=====

14.
A plane-wave DFT calculation with PBE was carried out for crystalline HfScTeN2 at its relaxed geometry.

Unit cell a=4.167 b=4.167 c=5.726 alpha=90.00 beta=90.00 gamma=90.00
Atoms (fractional coordinates):
Hf 0.000 0.000 0.000
Sc 0.500 0.500 0.500
Te 0.000 0.000 0.500
N 0.000 0.500 0.000
N 0.500 0.000 0.000

Values from the calculation:
**Calculated total energy**: -36.96 eV for the cell shown
**Uncorrected formation energy**: -0.176 eV/atom
**N(E_F)**: 4.00 states/eV per cell
**Energy above the lowest structure with this stoichiometry**: 0.000 eV/atom

=====

15.
A plane-wave DFT calculation with PBE was carried out for crystalline HfScTe2N at its relaxed geometry.

Unit cell a=5.573 b=5.573 c=3.873 alpha=90.00 beta=90.00 gamma=90.00
Atoms (fractional coordinates):
Hf 0.000 0.000 0.000
Sc 0.500 0.500 0.500
Te 0.000 0.500 0.500
Te 0.500 0.000 0.500
N 0.500 0.500 0.000

Values from the calculation:
**Calculated total energy**: -30.33 eV for the cell shown
**Uncorrected formation energy**: 0.113 eV/atom
**N(E_F)**: 3.69 states/eV per cell
**Energy above the lowest structure with this stoichiometry**: 0.462 eV/atom

=====

16.
A plane-wave DFT calculation with PBE was carried out for crystalline HfScTe2N at its relaxed geometry.

Unit cell a=5.666 b=5.666 c=3.980 alpha=90.00 beta=90.00 gamma=90.00
Atoms (fractional coordinates):
Hf 0.000 0.000 0.000
Sc 0.500 0.500 0.500
Te 0.000 0.500 0.000
Te 0.500 0.000 0.000
N 0.000 0.000 0.500

Values from the calculation:
**Calculated total energy**: -32.64 eV for the cell shown
**Uncorrected formation energy**: -0.349 eV/atom
**N(E_F)**: 2.81 states/eV per cell
**Energy above the lowest structure with this stoichiometry**: 0.000 eV/atom

=====

17.
A plane-wave DFT calculation with PBE was carried out for crystalline Hf2ScTiN at its relaxed geometry.

Unit cell a=4.466 b=4.466 c=4.410 alpha=90.00 beta=90.00 gamma=90.00
Atoms (fractional coordinates):
Hf 0.000 0.500 0.000
Hf 0.500 0.000 0.000
Sc 0.000 0.000 0.500
Ti 0.500 0.500 0.500
N 0.000 0.000 0.000

Values from the calculation:
**Calculated total energy**: -45.79 eV for the cell shown
**Uncorrected formation energy**: -0.667 eV/atom
**N(E_F)**: 6.26 states/eV per cell
**Energy above the lowest structure with this stoichiometry**: 0.010 eV/atom

=====

18.
A plane-wave DFT calculation with PBE was carried out for crystalline Hf2ScTiN at its relaxed geometry.

Unit cell a=4.555 b=4.555 c=4.183 alpha=90.00 beta=90.00 gamma=90.00
Atoms (fractional coordinates):
Hf 0.000 0.500 0.000
Hf 0.500 0.000 0.000
Sc 0.000 0.000 0.500
Ti 0.500 0.500 0.500
N 0.500 0.500 0.000

Values from the calculation:
**Calculated total energy**: -45.84 eV for the cell shown
**Uncorrected formation energy**: -0.677 eV/atom
**N(E_F)**: 4.94 states/eV per cell
**Energy above the lowest structure with this stoichiometry**: 0.000 eV/atom

=====

19.
A plane-wave DFT calculation with PBE was carried out for crystalline Hf2ScTiN4 at its relaxed geometry.

Unit cell a=5.455 b=3.161 c=5.488 alpha=90.00 beta=109.49 gamma=90.00
Atoms (fractional coordinates):
Hf 0.000 0.000 0.000
Hf 0.000 0.500 0.500
Sc 0.500 0.000 0.500
Ti 0.500 0.500 0.000
N 0.249 0.500 0.247
N 0.252 0.000 0.754
N 0.748 0.000 0.246
N 0.751 0.500 0.753

Values from the calculation:
**Calculated total energy**: -81.88 eV for the cell shown
**Uncorrected formation energy**: -1.805 eV/atom
**N(E_F)**: 1.62 states/eV per cell

=====

20.
A plane-wave DFT calculation with PBE was carried out for crystalline HfScTi2N4 at its relaxed geometry.

Unit cell a=5.372 b=3.102 c=5.383 alpha=90.00 beta=109.41 gamma=90.00
Atoms (fractional coordinates):
Hf 0.000 0.000 0.000
Sc 0.000 0.500 0.500
Ti 0.500 0.000 0.500
Ti 0.500 0.500 0.000
N 0.258 0.500 0.252
N 0.260 0.000 0.755
N 0.740 0.000 0.245
N 0.742 0.500 0.748

Values from the calculation:
**Calculated total energy**: -79.68 eV for the cell shown
**Uncorrected formation energy**: -1.788 eV/atom
**N(E_F)**: 1.97 states/eV per cell